# 1
A plane-wave DFT calculation with PBE-GGA was carried out for crystalline CaMgZnF6 at its relaxed geometry.

## Properties
- Calculated total energy: -5.05 eV/atom
- V: 119.6 Å³/f.u.
- Spin magnetization: 0.000 μB per atom
- Formation energy from raw total energies: -29.364 eV/f.u.

Cell lengths 5.298, 5.298, 9.840 Å; angles 90.00, 90.00, 120.00 degrees
Fractional positions:
Ca  0.000  0.000  0.000
Ca  0.000  0.000  0.500
Mg  0.333  0.667  0.250
Mg  0.667  0.333  0.750
Zn  0.333  0.667  0.750
Zn  0.667  0.333  0.250
F  0.008  0.356  0.138
F  0.008  0.651  0.362
F  0.349  0.356  0.362
F  0.349  0.992  0.138
F  0.356  0.008  0.638
F  0.356  0.349  0.862
F  0.644  0.651  0.138
F  0.644  0.992  0.362
F  0.651  0.008  0.862
F  0.651  0.644  0.638
F  0.992  0.349  0.638
F  0.992  0.644  0.862

# 2
A plane-wave DFT calculation with PBE-GGA was carried out for crystalline TaRhAu2 at its relaxed geometry.

## Properties
- Excess energy over the best structure of this formula in the dataset: 148 meV/atom
- Calculated total energy: -6.52 eV/atom
- V: 67.0 Å³/f.u.
- Formation energy from the elements: -0.3 eV per formula unit
- Spin magnetization: 0.000 μB per atom

Cell lengths 2.942, 4.191, 5.434 Å; angles 90.00, 90.00, 90.00 degrees
Fractional positions:
Ta  0.000  0.000  0.000
Rh  0.000  0.000  0.500
Au  0.500  0.500  0.251
Au  0.500  0.500  0.749

# 3
A plane-wave DFT calculation with PBE-GGA was carried out for crystalline Rb2Cd3Au5 at its relaxed geometry.

## Properties
- Calculated total energy: -2.31 eV/atom
- V: 270.3 Å³/f.u.
- Formation energy from the elements: -2.0 eV per formula unit
- Spin magnetization: 0.000 μB per atom

Cell lengths 9.564, 9.564, 9.564 Å; angles 107.78, 87.62, 137.41 degrees
Fractional positions:
Rb  0.127  0.235  0.363
Rb  0.373  0.735  0.108
Rb  0.627  0.265  0.892
Rb  0.873  0.765  0.637
Cd  0.139  0.898  0.037
Cd  0.250  0.750  0.500
Cd  0.361  0.398  0.760
Cd  0.639  0.602  0.240
Cd  0.750  0.250  0.500
Cd  0.861  0.102  0.963
Au  0.030  0.750  0.280
Au  0.116  0.653  0.769
Au  0.250  0.250  0.000
Au  0.384  0.153  0.537
Au  0.470  0.750  0.720
Au  0.530  0.250  0.280
Au  0.616  0.847  0.463
Au  0.750  0.750  0.000
Au  0.884  0.347  0.231
Au  0.970  0.250  0.720

# 4
A plane-wave DFT calculation with PBE-GGA was carried out for crystalline Na15Ca at its relaxed geometry.

## Properties
- Calculated total energy: -1.34 eV/atom
- V: 596.5 Å³/f.u.
- Formation energy from the elements: 0.4 eV per formula unit
- Spin magnetization: 0.000 μB per atom

Cell lengths 7.498, 7.498, 12.251 Å; angles 90.00, 90.00, 120.00 degrees
Fractional positions:
Na  0.000  0.000  0.000
Na  0.003  0.502  0.000
Na  0.333  0.667  0.257
Na  0.333  0.667  0.743
Na  0.335  0.167  0.246
Na  0.335  0.167  0.754
Na  0.498  0.502  0.000
Na  0.498  0.997  0.000
Na  0.502  0.004  0.500
Na  0.502  0.498  0.500
Na  0.833  0.167  0.246
Na  0.833  0.167  0.754
Na  0.833  0.665  0.246
Na  0.833  0.665  0.754
Na  0.996  0.498  0.500
Ca  0.000  0.000  0.500

# 5
A plane-wave DFT calculation with PBE-GGA was carried out for crystalline RbAl2SnCl8 at its relaxed geometry.

## Properties
- Calculated total energy: -3.65 eV/atom
- V: 397.6 Å³/f.u.
- Spin magnetization: 0.083 μB per atom
- Formation energy from raw total energies: -16.597 eV/f.u.

Cell lengths 11.212, 11.212, 11.212 Å; angles 34.22, 34.22, 34.22 degrees
Fractional positions:
Rb  0.000  0.000  0.000
Al  0.258  0.258  0.258
Al  0.742  0.742  0.742
Sn  0.500  0.500  0.500
Cl  0.064  0.784  0.443
Cl  0.216  0.557  0.936
Cl  0.326  0.326  0.326
Cl  0.443  0.064  0.784
Cl  0.557  0.936  0.216
Cl  0.674  0.674  0.674
Cl  0.784  0.443  0.064
Cl  0.936  0.216  0.557

# 6
A plane-wave DFT calculation with PBE-GGA was carried out for crystalline Ce2Sm12Y5 at its relaxed geometry.

## Properties
- Calculated total energy: -5.14 eV/atom
- V: 637.4 Å³/f.u.
- Formation energy from the elements: 3.1 eV per formula unit
- Spin magnetization: 0.111 μB per atom

Cell lengths 9.316, 9.316, 7.851 Å; angles 91.64, 91.64, 69.41 degrees
Fractional positions:
Ce  0.239  0.761  0.000
Ce  0.761  0.239  0.000
Sm  0.049  0.049  0.716
Sm  0.090  0.541  0.208
Sm  0.120  0.668  0.616
Sm  0.332  0.880  0.384
Sm  0.374  0.374  0.899
Sm  0.459  0.910  0.792
Sm  0.541  0.090  0.208
Sm  0.626  0.626  0.101
Sm  0.668  0.120  0.616
Sm  0.880  0.332  0.384
Sm  0.910  0.459  0.792
Sm  0.951  0.951  0.284
Y  0.160  0.160  0.087
Y  0.256  0.256  0.523
Y  0.500  0.500  0.500
Y  0.744  0.744  0.477
Y  0.840  0.840  0.913

# 7
A plane-wave DFT calculation with PBE-GGA was carried out for crystalline Be2RuWC at its relaxed geometry.

## Properties
- Calculated total energy: -5.74 eV/atom
- V: 73.4 Å³/f.u.
- Formation energy from the elements: 10.2 eV per formula unit
- Spin magnetization: 0.000 μB per atom

Cell lengths 3.887, 3.887, 4.858 Å; angles 90.00, 90.00, 90.00 degrees
Fractional positions:
Be  0.000  0.500  0.000
Be  0.500  0.000  0.000
Ru  0.000  0.000  0.000
W  0.000  0.000  0.500
C  0.500  0.500  0.500

# 8
A plane-wave DFT calculation with PBE-GGA was carried out for crystalline PmAlCo at its relaxed geometry.

## Properties
- Excess energy over the best structure of this formula in the dataset: 13 meV/atom
- Calculated total energy: -5.57 eV/atom
- V: 59.4 Å³/f.u.
- Formation energy from the elements: -1.1 eV per formula unit
- Spin magnetization: 0.000 μB per atom

Cell lengths 6.038, 6.038, 5.053 Å; angles 102.46, 102.46, 41.56 degrees
Fractional positions:
Pm  0.125  0.125  0.318
Pm  0.875  0.875  0.682
Al  0.404  0.404  0.192
Al  0.596  0.596  0.808
Co  0.203  0.203  0.867
Co  0.797  0.797  0.133